This record from Alexandria via LeMat-Bulk describes CePmSn2O8 after structural relaxation. The functional is PBE.

Unit cell a=7.298 b=7.298 c=7.125 alpha=90.00 beta=90.00 gamma=90.00
Space group I-4m2 (No. 119)
Symmetry-distinct sites (fractional):
Ce 0.000 0.000 0.000 (multiplicity 2)
Pm 0.000 0.500 0.750 (multiplicity 2)
Sn 0.000 0.000 0.500 (multiplicity 2)
Sn 0.000 0.500 0.250 (multiplicity 2)
O 0.000 0.183 0.702 (multiplicity 8)
O 0.000 0.309 0.054 (multiplicity 8)

The calculation puts the density of states at the Fermi level at 22.74 states/eV per cell. As for the energy: -6.999 eV/atom. Its formation energy (no corrections) is -25.636 eV/f.u. As for the total magnetic moment: 0.03 μB/atom.

This record from Alexandria via LeMat-Bulk describes Sb2PbCl after structural relaxation. The functional is PBE.

Unit cell a=3.361 b=4.317 c=8.664 alpha=90.00 beta=90.22 gamma=90.00
Space group Pm (No. 6)
Symmetry-distinct sites (fractional):
Sb 0.000 0.000 0.000 (multiplicity 1)
Sb 0.005 0.500 0.223 (multiplicity 1)
Pb 0.493 0.500 0.732 (multiplicity 1)
Cl 0.493 0.000 0.530 (multiplicity 1)

The calculation puts the density of states at the Fermi level at 1.20 states/eV per cell. As for the energy: -3.694 eV/atom. As for the offset from the most stable computed form: 0.0 meV/atom. Its formation energy (no corrections) is -0.975 eV/f.u. As for the total magnetic moment: 0.00 μB/atom.

This record from Alexandria via LeMat-Bulk describes AcPd4Pb3 after structural relaxation. The functional is PBE.

Unit cell a=4.7945 b=4.7945 c=27.6336 alpha=90.00 beta=90.00 gamma=120.00
Space group R-3m (No. 166, hexagonal axes)
Symmetry-distinct sites (fractional):
Ac 0.0000 0.0000 0.0000 (multiplicity 3)
Pd 0.0000 0.0000 0.1375 (multiplicity 6)
Pd 0.0000 0.0000 0.3957 (multiplicity 6)
Pb 0.0000 0.0000 0.2473 (multiplicity 6)
Pb 0.0000 0.0000 0.5000 (multiplicity 3)

The calculation puts the density of states at the Fermi level at 9.81 states/eV per cell. As for the formation energy: -8.94 kcal/mol of atoms. As for the energy: -4.888 eV/atom. As for the total magnetic moment: 0.00 μB/atom.